The following is a GGA-PBE calculation of an optimized crystal structure of Cu2BrO, from Alexandria via LeMat-Bulk.

Computed properties:
ΔE_f (raw) = 90 meV per atom
excess energy over the best structure of this formula in the dataset = 0.457 eV per atom
space-group type = R-3m, No. 166

Lattice parameters (Å, degrees): 7.0625 7.0625 7.0625 29.88 29.88 29.88
Closest atoms and distances in Å follow each position.
Element x y z (fractional)
Cu  0.0869  0.0869  0.0869  1 O 1.76
Cu  0.9131  0.9131  0.9131  1 O 1.76
Br  0.5000  0.5000  0.5000  6 Cu 2.65
O  0.0000  0.0000  0.0000  2 Cu 1.76